# 1
{
  "formula": "CrPdBr3",
  "functional": "GGA-PBE",
  "state": "relaxed",
  "de_polymorph_mev_per_atom": 0,
  "mass_density_g_cm3": 5.00,
  "dos_at_fermi_per_ev_cell": 10.7,
  "final_energy_ev_per_atom": -3.912,
  "spacegroup": "Pm-3m",
  "crystal_system": "cubic",
  "cell": [[5.0930, 0.0000, 0.0000], [0.0000, 5.0930, 0.0000], [0.0000, 0.0000, 5.0930]],
  "species": ["Cr", "Pd", "Br", "Br", "Br"],
  "fractional_positions": [[0.0000, 0.0000, 0.0000], [0.5000, 0.5000, 0.5000], [0.0000, 0.0000, 0.5000], [0.0000, 0.5000, 0.0000], [0.5000, 0.0000, 0.0000]]
}

# 2
{
  "formula": "MgC3Se",
  "functional": "GGA-PBE",
  "state": "relaxed",
  "de_polymorph_mev_per_atom": 569,
  "mass_density_g_cm3": 3.18,
  "dos_at_fermi_per_ev_cell": 3.7,
  "final_energy_ev_per_atom": -3.449,
  "spacegroup": "Pm-3m",
  "crystal_system": "cubic",
  "cell": [[4.1724, 0.0000, 0.0000], [0.0000, 4.1724, 0.0000], [0.0000, 0.0000, 4.1724]],
  "species": ["Mg", "C", "C", "C", "Se"],
  "fractional_positions": [[0.0000, 0.0000, 0.0000], [0.0000, 0.0000, 0.5000], [0.0000, 0.5000, 0.0000], [0.5000, 0.0000, 0.0000], [0.5000, 0.5000, 0.5000]]
}

# 3
{
  "formula": "PaCu3Ge3",
  "functional": "GGA-PBE",
  "state": "relaxed",
  "ef_ev_per_atom": 0.274,
  "de_polymorph_mev_per_atom": 373,
  "mass_density_g_cm3": 7.77,
  "dos_at_fermi_per_ev_cell": 12.9,
  "final_energy_ev_per_atom": -4.817,
  "spacegroup": "Pm-3n",
  "crystal_system": "cubic",
  "cell": [[6.4899, 0.0000, 0.0000], [0.0000, 6.4899, 0.0000], [0.0000, 0.0000, 6.4899]],
  "species": ["Pa", "Pa", "Cu", "Cu", "Cu", "Cu", "Cu", "Cu", "Ge", "Ge", "Ge", "Ge", "Ge", "Ge"],
  "fractional_positions": [[0.0000, 0.0000, 0.0000], [0.5000, 0.5000, 0.5000], [0.0000, 0.2500, 0.5000], [0.0000, 0.7500, 0.5000], [0.2500, 0.5000, 0.0000], [0.5000, 0.0000, 0.2500], [0.5000, 0.0000, 0.7500], [0.7500, 0.5000, 0.0000], [0.0000, 0.5000, 0.2500], [0.0000, 0.5000, 0.7500], [0.2500, 0.0000, 0.5000], [0.5000, 0.2500, 0.0000], [0.5000, 0.7500, 0.0000], [0.7500, 0.0000, 0.5000]]
}

# 4
{
  "formula": "Pr6Tm2Tl",
  "functional": "GGA-PBE",
  "state": "relaxed",
  "ef_ev_per_atom": -0.032,
  "mass_density_g_cm3": 7.68,
  "dos_at_fermi_per_ev_cell": 25.1,
  "final_energy_ev_per_atom": -4.475,
  "spacegroup": "P4_2/mnm",
  "crystal_system": "tetragonal",
  "cell": [[10.9757, 0.0000, 0.0000], [0.0000, 10.9757, 0.0000], [0.0000, 0.0000, 4.9829]],
  "species": ["Pr", "Pr", "Pr", "Pr", "Pr", "Pr", "Pr", "Pr", "Pr", "Pr", "Pr", "Pr", "Tm", "Tm", "Tm", "Tm", "Tl", "Tl"],
  "fractional_positions": [[0.0086, 0.3327, 0.0000], [0.1562, 0.1562, 0.5000], [0.1673, 0.5086, 0.5000], [0.3327, 0.0086, 0.0000], [0.3438, 0.6562, 0.0000], [0.4914, 0.8327, 0.5000], [0.5086, 0.1673, 0.5000], [0.6562, 0.3438, 0.0000], [0.6673, 0.9914, 0.0000], [0.8327, 0.4914, 0.5000], [0.8438, 0.8438, 0.5000], [0.9914, 0.6673, 0.0000], [0.1636, 0.8364, 0.5000], [0.3364, 0.3364, 0.0000], [0.6636, 0.6636, 0.0000], [0.8364, 0.1636, 0.5000], [0.0000, 0.0000, 0.0000], [0.5000, 0.5000, 0.5000]]
}

# 5
{
  "formula": "Li2TlMo",
  "functional": "GGA-PBE",
  "state": "relaxed",
  "ef_ev_per_atom": 0.722,
  "de_polymorph_mev_per_atom": 366,
  "mass_density_g_cm3": 6.86,
  "dos_at_fermi_per_ev_cell": 5.1,
  "final_energy_ev_per_atom": -3.535,
  "spacegroup": "I-42d",
  "crystal_system": "tetragonal",
  "cell": [[-3.6820, 3.6820, 2.8065], [3.6820, -3.6820, 2.8065], [3.6820, 3.6820, -2.8065]],
  "species": ["Li", "Li", "Li", "Li", "Tl", "Tl", "Mo", "Mo"],
  "fractional_positions": [[0.1210, 0.6250, 0.9960], [0.3750, 0.3710, 0.4960], [0.6290, 0.1250, 0.0040], [0.8750, 0.8790, 0.5040], [0.0000, 0.0000, 0.0000], [0.7500, 0.2500, 0.5000], [0.2500, 0.7500, 0.5000], [0.5000, 0.5000, 0.0000]]
}

# 6
{
  "formula": "InFeAs2",
  "functional": "GGA-PBE",
  "state": "relaxed",
  "ef_ev_per_atom": 0.049,
  "mass_density_g_cm3": 6.87,
  "dos_at_fermi_per_ev_cell": 3.1,
  "final_energy_ev_per_atom": -5.076,
  "spacegroup": "C2/m",
  "crystal_system": "monoclinic",
  "cell": [[3.4248, -1.4763, 0.0000], [3.4248, 1.4763, 0.0000], [-0.1407, 0.0000, 7.6608]],
  "species": ["In", "Fe", "As", "As"],
  "fractional_positions": [[0.0000, 0.0000, 0.0000], [0.5000, 0.5000, 0.5000], [0.2026, 0.2026, 0.6673], [0.7974, 0.7974, 0.3327]]
}

# 7
{
  "formula": "Er2CdTc",
  "functional": "GGA-PBE",
  "state": "relaxed",
  "ef_ev_per_atom": -0.215,
  "mass_density_g_cm3": 9.93,
  "dos_at_fermi_per_ev_cell": 4.7,
  "final_energy_ev_per_atom": -5.317,
  "spacegroup": "P4/mmm",
  "crystal_system": "tetragonal",
  "cell": [[3.4812, 0.0000, 0.0000], [0.0000, 3.4812, 0.0000], [0.0000, 0.0000, 7.5178]],
  "species": ["Er", "Er", "Cd", "Tc"],
  "fractional_positions": [[0.0000, 0.0000, 0.2140], [0.0000, 0.0000, 0.7860], [0.5000, 0.5000, 0.5000], [0.5000, 0.5000, 0.0000]]
}

# 8
{
  "formula": "TmThMnCo",
  "functional": "GGA-PBE",
  "state": "relaxed",
  "ef_ev_per_atom": 0.025,
  "mass_density_g_cm3": 10.41,
  "dos_at_fermi_per_ev_cell": 4.5,
  "final_energy_ev_per_atom": -7.017,
  "spacegroup": "F-43m",
  "crystal_system": "cubic",
  "cell": [[0.0000, 3.4495, 3.4495], [3.4495, 0.0000, 3.4495], [3.4495, 3.4495, 0.0000]],
  "species": ["Tm", "Th", "Mn", "Co"],
  "fractional_positions": [[0.0000, 0.0000, 0.0000], [0.5000, 0.5000, 0.5000], [0.2500, 0.2500, 0.2500], [0.7500, 0.7500, 0.7500]]
}

# 9
{
  "formula": "BaLa8Ir5",
  "functional": "GGA-PBE",
  "state": "relaxed",
  "ef_ev_per_atom": -0.617,
  "mass_density_g_cm3": 7.72,
  "dos_at_fermi_per_ev_cell": 10.2,
  "final_energy_ev_per_atom": -6.735,
  "spacegroup": "C2/m",
  "crystal_system": "monoclinic",
  "cell": [[10.9929, -2.1515, 0.0000], [10.9929, 2.1515, 0.0000], [-2.4409, 0.0000, 10.0440]],
  "species": ["Ba", "La", "La", "La", "La", "La", "La", "La", "La", "Ir", "Ir", "Ir", "Ir", "Ir"],
  "fractional_positions": [[0.0000, 0.0000, 0.0000], [0.0722, 0.0722, 0.6537], [0.2576, 0.2576, 0.3385], [0.3212, 0.3212, 0.0117], [0.4027, 0.4027, 0.6430], [0.5973, 0.5973, 0.3570], [0.6788, 0.6788, 0.9883], [0.7424, 0.7424, 0.6615], [0.9278, 0.9278, 0.3463], [0.1659, 0.1659, 0.5050], [0.2020, 0.2020, 0.8216], [0.5000, 0.5000, 0.5000], [0.7980, 0.7980, 0.1784], [0.8341, 0.8341, 0.4950]]
}

# 10
{
  "formula": "U3Si4Ir2",
  "functional": "GGA-PBE",
  "state": "relaxed",
  "de_polymorph_mev_per_atom": 0,
  "mass_density_g_cm3": 12.44,
  "dos_at_fermi_per_ev_cell": 13.2,
  "final_energy_ev_per_atom": -8.741,
  "spacegroup": "C2/m",
  "crystal_system": "monoclinic",
  "cell": [[5.2950, -2.0599, 0.0000], [5.2950, 2.0599, 0.0000], [-3.9056, 0.0000, 7.4106]],
  "species": ["U", "U", "U", "Si", "Si", "Si", "Si", "Ir", "Ir"],
  "fractional_positions": [[0.0000, 0.0000, 0.0000], [0.3952, 0.3952, 0.3464], [0.6048, 0.6048, 0.6536], [0.1160, 0.1160, 0.4102], [0.2664, 0.2664, 0.9431], [0.7336, 0.7336, 0.0569], [0.8840, 0.8840, 0.5898], [0.3390, 0.3390, 0.7128], [0.6610, 0.6610, 0.2872]]
}

# 11
{
  "formula": "LaPr3Pu2Se6",
  "functional": "GGA-PBE",
  "state": "relaxed",
  "mass_density_g_cm3": 7.84,
  "dos_at_fermi_per_ev_cell": 21.5,
  "final_energy_ev_per_atom": -7.513,
  "spacegroup": "C2/m",
  "crystal_system": "monoclinic",
  "cell": [[3.6622, -6.3442, 0.0000], [3.6622, 6.3442, 0.0000], [-2.4422, 0.0000, 6.9399]],
  "species": ["La", "Pr", "Pr", "Pr", "Pu", "Pu", "Se", "Se", "Se", "Se", "Se", "Se"],
  "fractional_positions": [[0.0000, 0.0000, 0.0000], [0.1641, 0.8359, 0.5000], [0.5000, 0.5000, 0.5000], [0.8359, 0.1641, 0.5000], [0.3328, 0.6672, 0.0000], [0.6672, 0.3328, 0.0000], [0.0818, 0.4223, 0.2446], [0.2602, 0.2602, 0.7579], [0.4223, 0.0818, 0.2446], [0.5777, 0.9182, 0.7554], [0.7398, 0.7398, 0.2421], [0.9182, 0.5777, 0.7554]]
}

# 12
{
  "formula": "AlRu2F",
  "functional": "GGA-PBE",
  "state": "relaxed",
  "de_polymorph_mev_per_atom": 50,
  "mass_density_g_cm3": 7.31,
  "dos_at_fermi_per_ev_cell": 11.5,
  "final_energy_ev_per_atom": -5.890,
  "spacegroup": "I-42d",
  "crystal_system": "tetragonal",
  "cell": [[-3.4506, 3.4506, 2.3684], [3.4506, -3.4506, 2.3684], [3.4506, 3.4506, -2.3684]],
  "species": ["Al", "Al", "Ru", "Ru", "Ru", "Ru", "F", "F"],
  "fractional_positions": [[0.0000, 0.0000, 0.0000], [0.7500, 0.2500, 0.5000], [0.1756, 0.1250, 0.5506], [0.3750, 0.8244, 0.9494], [0.5744, 0.6250, 0.4494], [0.8750, 0.4256, 0.0506], [0.2500, 0.7500, 0.5000], [0.5000, 0.5000, 0.0000]]
}